[1]
SrCaHg: single point on PBEsol structure, SCAN.

Its magnetic moment is 0.05 μB per formula unit. The total energy is -203.27 eV/cell.

The space group is I4mm (No. 107) and the conventional cell measures 3.860, 3.860 and 13.470 Å, with angles of 90.00, 90.00 and 90.00 degrees. The distinct sites, in fractional coordinates, are Sr at (0.000, 0.000, 0.000), Ca at (0.000, 0.000, 0.729) and Hg at (0.000, 0.000, 0.352).



[2]
Sr2CaHg: single point on PBEsol structure, SCAN.

Its magnetic moment is 0.00 μB per formula unit. The total energy is -492.16 eV/cell.

The space group is F-43m (No. 216) and the conventional cell measures 8.158, 8.158 and 8.158 Å, with angles of 90.00, 90.00 and 90.00 degrees. The distinct sites, in fractional coordinates, are Sr at (0.000, 0.000, 0.000), Sr at (0.250, 0.250, 0.250), Ca at (0.000, 0.000, 0.500) and Hg at (0.250, 0.250, 0.750).



[3]
Sr2CaHg: single point on PBEsol structure, SCAN.

Its magnetic moment is 0.09 μB per formula unit. The total energy is -247.25 eV/cell.

The space group is Amm2 (No. 38) and the conventional cell measures 4.305, 4.743 and 15.885 Å, with angles of 90.00, 90.00 and 90.00 degrees. The distinct sites, in fractional coordinates, are Sr at (0.000, 0.000, 0.000), Sr at (0.500, 0.000, 0.341), Ca at (0.000, 0.000, 0.694) and Hg at (0.500, 0.000, 0.551).



[4]
SrCa2Hg: single point on PBEsol structure, SCAN.

Its magnetic moment is 0.29 μB per formula unit. The total energy is -222.45 eV/cell.

The space group is Immm (No. 71) and the conventional cell measures 3.889, 5.934 and 12.197 Å, with angles of 90.00, 90.00 and 90.00 degrees. The distinct sites, in fractional coordinates, are Sr at (0.000, 0.000, 0.000), Ca at (0.000, 0.500, 0.199) and Hg at (0.000, 0.000, 0.500).



Q: The lowest magnetic moment belongs to which entry?
A: number 2



Q: What is the magnetic moment in the second record?
A: 0.00 μB per formula unit